Entry 1:
{
  "formula": "SrHgHRu2",
  "functional": "SCAN",
  "state": "PBEsol geometry",
  "cell": [[-1.482, -2.662, 3.863], [0.044, -4.059, -2.780], [5.655, -0.967, 1.502]],
  "species": ["Ru", "Ru", "Hg", "H", "Sr"],
  "frac_coords": [[0.000, 0.500, 0.000], [0.500, 0.000, 0.000], [0.000, 0.000, 0.500], [0.500, 0.500, 0.500], [0.000, 0.000, 0.000]],
  "final_energy_ev_per_atom": -30.2484,
  "space_group": "P4/mmm (123)",
  "total_magnetization_mub_per_cell": 4.2
}


Entry 2:
{
  "formula": "HgSbH2",
  "functional": "SCAN",
  "state": "PBEsol geometry",
  "cell": [[6.183, 0.000, 0.000], [3.092, 5.355, 0.000], [3.092, 1.785, 5.049]],
  "species": ["Sb", "Sb", "Hg", "Hg", "H", "H", "H", "H"],
  "frac_coords": [[0.250, 0.250, 0.250], [0.000, 0.000, 0.000], [0.750, 0.750, 0.750], [0.500, 0.500, 0.500], [0.125, 0.125, 0.625], [0.125, 0.125, 0.125], [0.625, 0.125, 0.125], [0.125, 0.625, 0.125]],
  "final_energy_ev_per_atom": -27.5958,
  "space_group": "Fd-3m (227)",
  "total_magnetization_mub_per_cell": 0.0
}


Entry 3:
{
  "formula": "TiHgSb2H",
  "functional": "SCAN",
  "state": "PBEsol geometry",
  "cell": [[5.324, 0.000, 0.000], [0.000, 5.401, 0.000], [0.000, 0.000, 5.401]],
  "species": ["Sb", "Sb", "Hg", "H", "Ti"],
  "frac_coords": [[0.000, 0.000, 0.500], [0.000, 0.500, 0.000], [0.000, 0.000, 0.000], [0.500, 0.500, 0.500], [0.500, 0.000, 0.000]],
  "final_energy_ev_per_atom": -31.1737,
  "space_group": "P4/mmm (123)",
  "total_magnetization_mub_per_cell": 1.0
}


Entry 4:
{
  "formula": "Sc3HgH",
  "functional": "SCAN",
  "state": "PBEsol geometry",
  "cell": [[-3.030, 3.189, 0.134], [-0.154, 0.038, -4.398], [-3.188, -3.032, 0.085]],
  "species": ["Sc", "Sc", "Sc", "H", "Hg"],
  "frac_coords": [[0.000, 0.500, 0.000], [0.000, 0.000, 0.500], [0.500, 0.000, 0.000], [0.000, 0.000, 0.000], [0.500, 0.500, 0.500]],
  "final_energy_ev_per_atom": -23.3490,
  "e_above_lowest_polymorph_mev_per_atom": 0,
  "space_group": "Pm-3m (221)",
  "total_magnetization_mub_per_cell": 1.9
}


Entry 5:
{
  "formula": "SiHg3H",
  "functional": "SCAN",
  "state": "PBEsol geometry",
  "cell": [[-3.118, -3.154, 0.597], [1.285, -1.989, -3.797], [2.942, -2.474, 2.291]],
  "species": ["H", "Si", "Hg", "Hg", "Hg"],
  "frac_coords": [[0.000, 0.000, 0.000], [0.500, 0.500, 0.500], [0.000, 0.500, 0.000], [0.000, 0.000, 0.500], [0.500, 0.000, 0.000]],
  "final_energy_ev_per_atom": -42.8275,
  "space_group": "Pm-3m (221)",
  "total_magnetization_mub_per_cell": 0.0
}


Entry 6:
{
  "formula": "SnHgH2",
  "functional": "SCAN",
  "state": "PBEsol geometry",
  "cell": [[-2.334, 1.210, 3.600], [-3.689, 0.280, -2.487], [1.719, -6.888, 0.671]],
  "species": ["H", "H", "H", "H", "Hg", "Hg", "Sn", "Sn"],
  "frac_coords": [[0.625, 0.375, 0.750], [0.125, 0.375, 0.750], [0.625, 0.875, 0.250], [0.625, 0.375, 0.250], [0.000, 0.000, 0.000], [0.250, 0.750, 0.500], [0.500, 0.500, 0.000], [0.750, 0.250, 0.500]],
  "final_energy_ev_per_atom": -27.3025,
  "space_group": "I4_1/amd (141)",
  "total_magnetization_mub_per_cell": 0.0
}


Entry 7:
{
  "formula": "TaHg3H",
  "functional": "SCAN",
  "state": "PBEsol geometry",
  "cell": [[4.333, 0.000, 0.000], [0.000, 4.333, 0.000], [0.000, 0.000, 4.333]],
  "species": ["H", "Hg", "Hg", "Hg", "Ta"],
  "frac_coords": [[0.000, 0.000, 0.000], [0.000, 0.500, 0.000], [0.000, 0.000, 0.500], [0.500, 0.000, 0.000], [0.500, 0.500, 0.500]],
  "final_energy_ev_per_atom": -54.0744,
  "space_group": "Pm-3m (221)",
  "total_magnetization_mub_per_cell": 0.0
}


Entry 8:
{
  "formula": "Ti2HgH2",
  "functional": "SCAN",
  "state": "PBEsol geometry",
  "cell": [[-2.506, 2.354, 0.346], [-1.727, -1.454, -2.616], [-0.083, -3.232, 4.132]],
  "species": ["H", "H", "Hg", "Ti", "Ti"],
  "frac_coords": [[0.250, 0.750, 0.500], [0.750, 0.250, 0.500], [0.000, 0.000, 0.000], [0.336, 0.336, 0.673], [0.664, 0.664, 0.327]],
  "final_energy_ev_per_atom": -21.8483,
  "space_group": "I4/mmm (139)",
  "total_magnetization_mub_per_cell": 0.9
}